No. 1
## MnOsO2F (SCAN)

Data for a crystal of MnOsO2F relaxed with PBEsol.

Raw formation energy in eV/atom: -0.412

Cell and atoms, written as CIF:
```
data_MnOsO2F
_chemical_formula_sum 'Mn1 Os1 O2 F1'
_cell_length_a 3.8179
_cell_length_b 3.8179
_cell_length_c 3.8281
_cell_angle_alpha 90.00
_cell_angle_beta 90.00
_cell_angle_gamma 90.00
_symmetry_space_group_name_H-M 'P 1'
_symmetry_Int_Tables_number 1
loop_
_symmetry_equiv_pos_as_xyz
'x,y,z'
loop_
_atom_site_label
_atom_site_fract_x
_atom_site_fract_y
_atom_site_fract_z
_atom_site_occupancy
F1 0.0000 0.0000 0.5000 1
Mn1 0.0000 0.0000 0.0000 1
Os1 0.5000 0.5000 0.5000 1
O1 0.5000 0.0000 0.0000 1
O2 0.0000 0.5000 0.0000 1
```

No. 2
## GaSiPd2Pb (SCAN)

Data for a crystal of GaSiPd2Pb relaxed with PBEsol.

Raw formation energy in eV/atom: 0.629

Cell and atoms, written as CIF:
```
data_GaSiPd2Pb
_chemical_formula_sum 'Ga1 Si1 Pd2 Pb1'
_cell_length_a 4.5870
_cell_length_b 4.5870
_cell_length_c 5.2627
_cell_angle_alpha 90.00
_cell_angle_beta 90.00
_cell_angle_gamma 90.00
_symmetry_space_group_name_H-M 'P 1'
_symmetry_Int_Tables_number 1
loop_
_symmetry_equiv_pos_as_xyz
'x,y,z'
loop_
_atom_site_label
_atom_site_fract_x
_atom_site_fract_y
_atom_site_fract_z
_atom_site_occupancy
Pd1 0.5000 0.0000 0.0000 1
Pd2 0.0000 0.5000 0.0000 1
Ga1 0.0000 0.0000 0.0000 1
Pb1 0.0000 0.0000 0.5000 1
Si1 0.5000 0.5000 0.5000 1
```

No. 3
## ErAgSe2 (SCAN)

Data for a crystal of ErAgSe2 relaxed with PBEsol.

Raw formation energy in eV/atom: -1.344

Cell and atoms, written as CIF:
```
data_ErAgSe2
_chemical_formula_sum 'Er4 Ag4 Se8'
_cell_length_a 4.1727
_cell_length_b 6.5942
_cell_length_c 13.4924
_cell_angle_alpha 90.00
_cell_angle_beta 90.00
_cell_angle_gamma 90.00
_symmetry_space_group_name_H-M 'P 1'
_symmetry_Int_Tables_number 1
loop_
_symmetry_equiv_pos_as_xyz
'x,y,z'
loop_
_atom_site_label
_atom_site_fract_x
_atom_site_fract_y
_atom_site_fract_z
_atom_site_occupancy
Ag1 0.4917 0.2092 0.6317 1
Ag2 0.0083 0.7908 0.1317 1
Ag3 0.9917 0.2908 0.3683 1
Ag4 0.5083 0.7092 0.8683 1
Se1 0.7066 0.0860 0.2254 1
Se2 0.2850 0.9983 0.4739 1
Se3 0.2150 0.0017 0.9739 1
Se4 0.2066 0.4140 0.7746 1
Se5 0.7150 0.4983 0.0261 1
Se6 0.2934 0.5860 0.2746 1
Se7 0.7850 0.5017 0.5261 1
Se8 0.7934 0.9140 0.7254 1
Er1 0.2042 0.2941 0.1259 1
Er2 0.7042 0.2059 0.8741 1
Er3 0.7958 0.7941 0.3741 1
Er4 0.2958 0.7059 0.6259 1
```

Look up the raw formation energy of the third one. -1.344 eV/atom

Which of these has the lowest raw formation energy? ErAgSe2

Which of these has the highest raw formation energy? GaSiPd2Pb

Please write out number 2 again, unchanged.
## GaSiPd2Pb (SCAN)

Data for a crystal of GaSiPd2Pb relaxed with PBEsol.

Raw formation energy in eV/atom: 0.629

Cell and atoms, written as CIF:
```
data_GaSiPd2Pb
_chemical_formula_sum 'Ga1 Si1 Pd2 Pb1'
_cell_length_a 4.5870
_cell_length_b 4.5870
_cell_length_c 5.2627
_cell_angle_alpha 90.00
_cell_angle_beta 90.00
_cell_angle_gamma 90.00
_symmetry_space_group_name_H-M 'P 1'
_symmetry_Int_Tables_number 1
loop_
_symmetry_equiv_pos_as_xyz
'x,y,z'
loop_
_atom_site_label
_atom_site_fract_x
_atom_site_fract_y
_atom_site_fract_z
_atom_site_occupancy
Pd1 0.5000 0.0000 0.0000 1
Pd2 0.0000 0.5000 0.0000 1
Ga1 0.0000 0.0000 0.0000 1
Pb1 0.0000 0.0000 0.5000 1
Si1 0.5000 0.5000 0.5000 1
```